Record 1
A geometry-optimized Er5TlNi structure, computed with PBE-GGA.

```
14
Lattice="6.439 0.504 -0.098 2.521 5.947 -0.098 3.248 2.339 10.423" Properties=species:S:1:pos:R:3 pbc="T T T"
Ni 1.624 1.169 5.211
Ni 0.000 0.000 0.000
Tl 5.185 3.960 2.508
Tl 7.024 4.830 7.719
Er 8.008 7.189 9.832
Er 3.844 1.289 3.743
Er 4.201 1.601 0.395
Er 7.200 1.161 2.508
Er 8.142 4.384 1.273
Er 5.009 7.629 7.719
Er 8.365 7.500 6.484
Er 4.067 4.406 8.954
Er 4.475 4.645 5.606
Er 7.734 4.145 4.621
```

D(E_F): 14.9 states/eV per cell
formation energy: -64 kJ/mol of formula units
volume: 388 Å³ per cell

=====

Record 2
A geometry-optimized ErTl2Ni structure, computed with PBE-GGA.

```
8
Lattice="4.387 -0.010 0.000 -2.202 5.341 0.000 0.000 0.000 7.468" Properties=species:S:1:pos:R:3 pbc="T T T"
Tl -0.004 3.829 7.134
Tl 2.189 1.502 3.400
Tl -0.004 3.829 4.068
Tl 2.189 1.502 0.334
Ni 2.190 3.124 5.601
Ni -0.004 2.207 1.867
Er -0.004 0.745 5.601
Er 2.189 4.586 1.867
```

D(E_F): 3.7 states/eV per cell
formation energy: -59 kJ/mol of formula units
volume: 175 Å³ per cell

=====

Record 3
A geometry-optimized Er5Tl4Ni structure, computed with PBE-GGA.

```
10
Lattice="5.313 0.000 0.000 2.657 7.206 0.000 2.657 0.000 7.206" Properties=species:S:1:pos:R:3 pbc="T T T"
Tl 5.319 2.401 4.933
Tl 5.319 4.805 2.273
Tl 7.975 4.933 4.805
Tl 2.662 2.273 2.401
Er 2.662 0.000 0.000
Er 2.662 4.657 0.208
Er 5.318 0.208 2.549
Er 7.975 2.549 6.998
Er 5.318 6.998 4.657
Ni 0.005 0.000 0.000
```

D(E_F): 7.1 states/eV per cell
formation energy: -185 kJ/mol of formula units
volume: 276 Å³ per cell

=====

Record 4
A geometry-optimized Er3TlNi8 structure, computed with PBE-GGA.

```
12
Lattice="4.803 0.000 1.450 2.183 4.278 1.450 -0.014 -0.009 8.727" Properties=species:S:1:pos:R:3 pbc="T T T"
Er 6.955 4.259 3.002
Er 3.513 2.152 5.722
Er 2.617 1.603 8.692
Ni 5.475 1.869 3.602
Ni 3.052 1.869 2.871
Ni 5.442 1.857 8.015
Ni 4.153 4.027 3.602
Ni 6.537 4.004 8.742
Ni 1.304 0.799 4.360
Ni 4.793 2.935 10.164
Ni 4.127 4.004 8.015
Tl 6.091 3.731 5.863
```

D(E_F): 10.1 states/eV per cell
formation energy: -453 kJ/mol of formula units
volume: 179 Å³ per cell

=====

Record 5
A geometry-optimized Er6Tl3Ni structure, computed with PBE-GGA.

```
10
Lattice="7.211 -1.311 -0.926 2.431 6.148 0.067 2.431 2.117 5.773" Properties=species:S:1:pos:R:3 pbc="T T T"
Er 7.698 3.149 4.362
Er 4.294 5.331 3.766
Er 7.698 5.163 1.510
Er 4.374 1.791 3.403
Er 7.778 1.624 1.147
Er 4.374 3.806 0.551
Tl 2.824 1.050 0.741
Tl 9.248 5.905 4.172
Tl 0.000 0.000 0.000
Ni 6.036 3.477 2.457
```

D(E_F): 7.7 states/eV per cell
formation energy: -165 kJ/mol of formula units
volume: 282 Å³ per cell

=====

Record 6
A geometry-optimized Er3TlNi structure, computed with PBE-GGA.

```
10
Lattice="3.874 0.000 0.000 0.000 7.967 -2.362 0.000 -0.850 8.526" Properties=species:S:1:pos:R:3 pbc="T T T"
Ni 2.905 0.040 4.838
Ni 0.968 7.077 1.326
Er 0.968 6.982 4.280
Er 2.905 0.135 1.885
Er 0.968 5.289 -0.798
Er 2.905 5.088 1.999
Er 0.968 2.029 4.165
Er 2.905 1.827 6.962
Tl 0.968 2.568 1.006
Tl 2.905 4.548 5.159
```

D(E_F): 7.7 states/eV per cell
formation energy: -154 kJ/mol of formula units
volume: 255 Å³ per cell
excess energy over the best structure of this formula in the dataset: 0.0 meV per atom

=====

Record 7
A geometry-optimized Er7Tl2Ni2 structure, computed with PBE-GGA.

```
11
Lattice="6.714 -0.003 -0.889 0.003 6.930 0.003 -1.306 -0.002 6.646" Properties=species:S:1:pos:R:3 pbc="T T T"
Er -0.649 5.246 3.323
Er 3.355 1.681 -0.442
Er 2.056 5.244 6.202
Er 0.000 0.000 0.000
Er 2.708 5.312 2.879
Er 6.060 1.678 2.437
Er 2.703 1.613 2.881
Tl 0.992 3.464 1.056
Tl 4.419 3.461 4.703
Ni 1.052 -0.002 4.430
Ni 4.359 6.927 1.329
```

D(E_F): 9.4 states/eV per cell
formation energy: -204 kJ/mol of formula units
volume: 301 Å³ per cell

=====

Record 8
A geometry-optimized Er5Tl2Ni2 structure, computed with PBE-GGA.

```
18
Lattice="7.101 0.000 0.000 0.000 7.693 0.000 0.000 -3.847 8.146" Properties=species:S:1:pos:R:3 pbc="T T T"
Tl 3.551 3.847 3.655
Tl 0.000 0.000 3.655
Tl 0.000 3.847 4.491
Tl 3.551 0.000 4.491
Er 4.717 -2.473 6.280
Er 2.384 2.473 6.280
Er 4.717 1.373 1.866
Er 0.000 0.000 0.000
Er 1.166 2.473 1.866
Er 5.935 5.220 1.866
Er 5.935 1.373 6.280
Er 3.551 3.847 0.000
Er 1.166 -1.373 6.280
Er 2.384 6.320 1.866
Ni 0.877 4.804 0.000
Ni 2.674 0.958 0.000
Ni 4.427 6.736 0.000
Ni 6.225 2.889 0.000
```

D(E_F): 14.8 states/eV per cell
formation energy: -297 kJ/mol of formula units
volume: 445 Å³ per cell

=====

Record 9
A geometry-optimized ErTmTlNi structure, computed with PBE-GGA.

```
4
Lattice="5.056 0.000 0.000 2.528 4.379 0.000 2.528 1.460 4.128" Properties=species:S:1:pos:R:3 pbc="T T T"
Er 0.000 0.000 0.000
Tm 5.056 2.919 2.064
Ni 2.528 1.460 1.032
Tl 7.584 4.379 3.096
```

D(E_F): 4.0 states/eV per cell
formation energy: -102 kJ/mol of formula units
volume: 91 Å³ per cell
excess energy over the best structure of this formula in the dataset: 115.6 meV per atom

=====

Record 10
A geometry-optimized ErTmTlNi structure, computed with PBE-GGA.

```
4
Lattice="3.431 0.000 0.000 0.000 3.431 0.000 0.000 0.000 7.690" Properties=species:S:1:pos:R:3 pbc="T T T"
Tl 0.000 0.000 0.560
Ni 0.000 0.000 4.373
Er 1.716 1.716 6.003
Tm 1.716 1.716 2.788
```

D(E_F): 4.5 states/eV per cell
formation energy: -147 kJ/mol of formula units
volume: 91 Å³ per cell
excess energy over the best structure of this formula in the dataset: 0.0 meV per atom

=====

Record 11
A geometry-optimized YErTlNi structure, computed with PBE-GGA.

```
4
Lattice="-0.135 -1.349 4.914 -3.395 -3.447 1.604 1.556 -4.645 1.411" Properties=species:S:1:pos:R:3 pbc="T T T"
Er -0.493 -2.360 1.982
Ni 0.000 0.000 0.000
Y -1.480 -7.081 5.947
Tl -0.987 -4.721 3.965
```

D(E_F): 3.9 states/eV per cell
formation energy: -102 kJ/mol of formula units
volume: 94 Å³ per cell

=====

Record 12
A geometry-optimized Er3TmNi structure, computed with PBE-GGA.

```
5
Lattice="5.247 0.000 0.000 0.000 5.247 0.000 0.000 0.000 5.247" Properties=species:S:1:pos:R:3 pbc="T T T"
Er 2.624 0.000 0.000
Er 0.000 2.624 0.000
Er 0.000 0.000 2.624
Tm 2.624 2.624 2.624
Ni 0.000 0.000 0.000
```

D(E_F): 9.0 states/eV per cell
formation energy: -17 kJ/mol of formula units
volume: 144 Å³ per cell
excess energy over the best structure of this formula in the dataset: 153.5 meV per atom